This record from the Alexandria database describes a relaxed structure of CdPb2AuN. The functional is PBEsol.

Cell: 3.928 5.323 5.323 Å, 90.00 90.00 90.00°
Fractional positions:
Pb: 0.000 0.000 0.500
Pb: 0.000 0.500 0.000
N: 0.000 0.000 0.000
Au: 0.500 0.000 0.000
Cd: 0.500 0.500 0.500

## Properties
electronic total energy: -3.890 eV/atom
V: 22.25 Å³/atom
symmetry: P4/mmm
total magnetic moment: 0.0 μB per cell